A relaxed CaAcTlPd crystal. Source: Alexandria via LeMat-Bulk, functional PBE-GGA.

- magnetization (μB per atom) = 0.0000
- space group = F-43m, No. 216
- offset from the most stable computed form (meV per atom) = 61
- formation enthalpy at 0 K (eV per atom) = -0.48

Geometry as POSCAR:
```
CaAcTlPd
1.0
7.729 0.000 0.000
0.000 7.729 0.000
0.000 0.000 7.729
Ca Ac Tl Pd
4 4 4 4
direct
0.000 0.000 0.000
0.000 0.500 0.500
0.500 0.000 0.500
0.500 0.500 0.000
0.000 0.000 0.500
0.000 0.500 0.000
0.500 0.000 0.000
0.500 0.500 0.500
0.250 0.250 0.750
0.250 0.750 0.250
0.750 0.250 0.250
0.750 0.750 0.750
0.250 0.250 0.250
0.250 0.750 0.750
0.750 0.250 0.750
0.750 0.750 0.250
```